# 1
Computed, not measured: a relaxed Ac12MgGa7 crystal at the PBE level of DFT.

Lattice parameters (Å, degrees): 9.6993 9.6993 9.6993 109.08 109.08 109.08
Positions (direct):
Ac: 0.0961 0.3152 0.4023
Ac: 0.1336 0.6622 0.2878
Ac: 0.2878 0.1336 0.6622
Ac: 0.3152 0.4023 0.0961
Ac: 0.3378 0.7122 0.8664
Ac: 0.4023 0.0961 0.3152
Ac: 0.5977 0.9039 0.6848
Ac: 0.6622 0.2878 0.1336
Ac: 0.6848 0.5977 0.9039
Ac: 0.7122 0.8664 0.3378
Ac: 0.8664 0.3378 0.7122
Ac: 0.9039 0.6848 0.5977
Mg: 0.0000 0.0000 0.0000
Ga: 0.0168 0.9263 0.2606
Ga: 0.0737 0.7394 0.9832
Ga: 0.2606 0.0168 0.9263
Ga: 0.5000 0.5000 0.5000
Ga: 0.7394 0.9832 0.0737
Ga: 0.9263 0.2606 0.0168
Ga: 0.9832 0.0737 0.7394

Properties
Crystal system: trigonal
DFT total energy: -3.852 eV/atom
Total moment: 0.000 μB/atom
Space-group type: No. 148

***

# 2
Computed, not measured: a relaxed Tl2ZnPt crystal at the PBE level of DFT.

Lattice parameters (Å, degrees): 7.0196 7.0196 7.0196 90.00 90.00 90.00
Positions (direct):
Tl: 0.2500 0.2500 0.2500
Tl: 0.2500 0.2500 0.7500
Tl: 0.2500 0.7500 0.2500
Tl: 0.2500 0.7500 0.7500
Tl: 0.7500 0.2500 0.2500
Tl: 0.7500 0.2500 0.7500
Tl: 0.7500 0.7500 0.2500
Tl: 0.7500 0.7500 0.7500
Zn: 0.0000 0.0000 0.0000
Zn: 0.0000 0.5000 0.5000
Zn: 0.5000 0.0000 0.5000
Zn: 0.5000 0.5000 0.0000
Pt: 0.0000 0.0000 0.5000
Pt: 0.0000 0.5000 0.0000
Pt: 0.5000 0.0000 0.0000
Pt: 0.5000 0.5000 0.5000

Properties
E above lowest polymorph: 230 meV per atom
Crystal system: cubic
DFT total energy: -2.859 eV/atom
Total moment: 0.000 μB/atom
Space-group type: No. 225

***

# 3
Computed, not measured: a relaxed BiP3Os crystal at the PBE level of DFT.

Lattice parameters (Å, degrees): 4.6720 4.6720 4.6720 90.00 90.00 90.00
Positions (direct):
Bi: 0.0000 0.0000 0.0000
P: 0.0000 0.5000 0.5000
P: 0.5000 0.0000 0.5000
P: 0.5000 0.5000 0.0000
Os: 0.5000 0.5000 0.5000

Properties
E above lowest polymorph: 0 meV per atom
Crystal system: cubic
DFT total energy: -5.664 eV/atom
Total moment: 0.000 μB/atom
Space-group type: No. 221

***

# 4
Computed, not measured: a relaxed Er4SnTe4 crystal at the PBE level of DFT.

Lattice parameters (Å, degrees): 7.5732 7.5732 10.6982 118.84 118.84 33.15
Positions (direct):
Er: 0.0956 0.0956 0.4005
Er: 0.3021 0.3021 0.1993
Er: 0.6979 0.6979 0.8007
Er: 0.9044 0.9044 0.5995
Sn: 0.5000 0.5000 0.5000
Te: 0.1024 0.1024 0.9019
Te: 0.3033 0.3033 0.7016
Te: 0.6967 0.6967 0.2984
Te: 0.8976 0.8976 0.0981

Properties
Crystal system: monoclinic
Formation energy from raw total energies: -1226 meV per atom
DFT total energy: -5.095 eV/atom
Total moment: 0.000 μB/atom
Space-group type: No. 12